Record 1
First-principles (SCAN) data for Rb2CuSbCl6 at its PBEsol-relaxed geometry, as listed in Alexandria via LeMat-Bulk.

a b c (Å): 7.1956 7.1956 7.1956
angles (deg): 60.00 60.00 60.00
Last column: nearest neighbours and their distance in Å.
Fractional positions:
Cl1 0.2600 0.7400 0.7400  1 Cu 2.44, 1 Sb 2.65
Cl2 0.7400 0.2600 0.2600  1 Cu 2.44, 1 Sb 2.65
Cl3 0.2600 0.7400 0.2600  1 Cu 2.44, 1 Sb 2.65
Cl4 0.7400 0.2600 0.7400  1 Cu 2.44, 1 Sb 2.65
Cl5 0.2600 0.2600 0.7400  1 Cu 2.44, 1 Sb 2.65
Cl6 0.7400 0.7400 0.2600  1 Cu 2.44, 1 Sb 2.65
Sb1 0.0000 0.0000 0.0000  6 Cl 2.65
Rb1 0.2500 0.2500 0.2500  12 Cl 3.60
Rb2 0.7500 0.7500 0.7500  12 Cl 3.60
Cu1 0.5000 0.5000 0.5000  6 Cl 2.44

symmetry = Fm-3m
energy relative to the elements, uncorrected = -1.367 eV/atom
magnetization = 0.000 μB/atom
total energy = -15.55 eV per atom



Record 2
First-principles (SCAN) data for BaSb2S4 at its PBEsol-relaxed geometry, as listed in Alexandria via LeMat-Bulk.

a b c (Å): 8.1929 8.8124 20.2641
angles (deg): 101.02 90.00 90.00
Last column: nearest neighbours and their distance in Å.
Fractional positions:
Sb1 0.0251 0.6965 0.6200  3 S 2.48-2.50
Sb2 0.9991 0.8412 0.3881  3 S 2.45-2.71
Sb3 0.6588 0.8599 0.5093  3 S 2.45-2.58
Sb4 0.4749 0.6965 0.1200  3 S 2.48-2.50
Sb5 0.8412 0.8599 0.0093  3 S 2.45-2.58
Sb6 0.3412 0.1401 0.4907  3 S 2.45-2.58
Sb7 0.4991 0.1588 0.1119  3 S 2.45-2.71
Sb8 0.1588 0.1401 0.9907  3 S 2.45-2.58
Sb9 0.7047 0.4165 0.5278  4 S 2.52-2.69
Sb10 0.0009 0.1588 0.6119  3 S 2.45-2.71
Sb11 0.7953 0.4165 0.0278  4 S 2.52-2.69
Sb12 0.5009 0.8412 0.8881  3 S 2.45-2.71
Sb13 0.2953 0.5835 0.4722  4 S 2.52-2.69
Sb14 0.9749 0.3035 0.3800  3 S 2.48-2.50
Sb15 0.2047 0.5835 0.9722  4 S 2.52-2.69
Sb16 0.5251 0.3035 0.8800  3 S 2.48-2.50
Ba1 0.9498 0.5198 0.7979  8 S 3.10-3.36
Ba2 0.9526 0.0216 0.8076  9 S 3.23-3.53
Ba3 0.4526 0.9784 0.6924  9 S 3.23-3.53
Ba4 0.0474 0.9784 0.1924  9 S 3.23-3.53
Ba5 0.5474 0.0216 0.3076  9 S 3.23-3.53
Ba6 0.5502 0.5198 0.2979  8 S 3.10-3.36
Ba7 0.0502 0.4802 0.2021  8 S 3.10-3.36
Ba8 0.4498 0.4802 0.7021  8 S 3.10-3.36
S1 0.1597 0.0789 0.3492  2 Sb 2.48-2.71
S2 0.3384 0.5049 0.8500  2 Sb 2.50-2.67
S3 0.8519 0.6530 0.4658  1 Sb 2.45
S4 0.6752 0.2561 0.7720  1 Sb 2.48
S5 0.8445 0.7679 0.2835  1 Sb 2.45
S6 0.9905 0.6315 0.0745  2 Sb 2.52-2.69
S7 0.5528 0.2149 0.5833  2 Sb 2.55-2.60
S8 0.5095 0.6315 0.5745  2 Sb 2.52-2.69
S9 0.2967 0.9560 0.0585  2 Sb 2.53-2.58
S10 0.2033 0.9560 0.5585  2 Sb 2.53-2.58
S11 0.4472 0.7851 0.4167  2 Sb 2.55-2.60
S12 0.4905 0.3685 0.4255  2 Sb 2.52-2.69
S13 0.3519 0.3470 0.0342  1 Sb 2.45
S14 0.3445 0.2321 0.2165  1 Sb 2.45
S15 0.9472 0.2149 0.0833  2 Sb 2.55-2.60
S16 0.1752 0.7439 0.7280  1 Sb 2.48
S17 0.1616 0.5049 0.3500  2 Sb 2.50-2.67
S18 0.1481 0.3470 0.5342  1 Sb 2.45
S19 0.7967 0.0440 0.4415  2 Sb 2.53-2.58
S20 0.3248 0.7439 0.2280  1 Sb 2.48
S21 0.7033 0.0440 0.9415  2 Sb 2.53-2.58
S22 0.6597 0.9211 0.1508  2 Sb 2.48-2.71
S23 0.6481 0.6530 0.9658  1 Sb 2.45
S24 0.0095 0.3685 0.9255  2 Sb 2.52-2.69
S25 0.8384 0.4951 0.6500  2 Sb 2.50-2.67
S26 0.8403 0.9211 0.6508  2 Sb 2.48-2.71
S27 0.8248 0.2561 0.2720  1 Sb 2.48
S28 0.6555 0.7679 0.7835  1 Sb 2.45
S29 0.0528 0.7851 0.9167  2 Sb 2.55-2.60
S30 0.1555 0.2321 0.7165  1 Sb 2.45
S31 0.3403 0.0789 0.8492  2 Sb 2.48-2.71
S32 0.6616 0.4951 0.1500  2 Sb 2.50-2.67

symmetry = P2_1/c
energy relative to the elements, uncorrected = -0.939 eV/atom
magnetization = 0.000 μB/atom
total energy = -22.74 eV per atom



Record 3
First-principles (SCAN) data for YBr at its PBEsol-relaxed geometry, as listed in Alexandria via LeMat-Bulk.

a b c (Å): 4.0613 4.0613 4.0613
angles (deg): 60.00 60.00 60.00
Last column: nearest neighbours and their distance in Å.
Fractional positions:
Y1 0.5000 0.5000 0.5000  6 Br 2.87
Br1 0.0000 0.0000 0.0000  6 Y 2.87

symmetry = Fm-3m
energy relative to the elements, uncorrected = -0.842 eV/atom
magnetization = 0.000 μB/atom
total energy = -24.49 eV per atom



What is the energy relative to the elements, uncorrected in the third record?
-0.842 eV/atom



Which of these has the lowest total energy?
YBr